VASP calculation (PBE) on an optimized crystal structure of Cs2CdI6F.

Cell lengths 8.355, 8.355, 8.355 Å; angles 115.53, 115.53, 97.93 degrees
Atoms (fractional coordinates):
Cs  0.250  0.750  0.500
Cs  0.750  0.250  0.500
Cd  0.000  0.000  0.000
I  0.229  0.229  0.458
I  0.229  0.771  0.000
I  0.292  0.292  0.000
I  0.708  0.708  0.000
I  0.771  0.229  0.000
I  0.771  0.771  0.542
F  0.500  0.500  0.000

Computed properties:
The uncorrected energy is -2.183 eV per atom. For the energy relative to the elements, uncorrected, the calculation gives -0.803 eV per atom.

=====

VASP calculation (PBE) on an optimized crystal structure of CsCdI2F.

Cell lengths 6.191, 6.191, 4.519 Å; angles 90.00, 90.00, 90.00 degrees
Atoms (fractional coordinates):
Cs  0.000  0.000  0.000
Cd  0.500  0.500  0.500
I  0.000  0.500  0.500
I  0.500  0.000  0.500
F  0.500  0.500  0.000

Computed properties:
The uncorrected energy is -2.728 eV per atom. For the energy relative to the elements, uncorrected, the calculation gives -1.380 eV per atom.

=====

VASP calculation (PBE) on an optimized crystal structure of CsCdIF2.

Cell lengths 4.359, 4.359, 7.911 Å; angles 90.00, 90.00, 90.00 degrees
Atoms (fractional coordinates):
Cs  0.000  0.000  0.000
Cd  0.500  0.500  0.354
I  0.500  0.500  0.702
F  0.000  0.500  0.254
F  0.500  0.000  0.254

Computed properties:
The uncorrected energy is -3.314 eV per atom. For the energy relative to the elements, uncorrected, the calculation gives -1.901 eV per atom.

=====

VASP calculation (PBE) on an optimized crystal structure of Cs2CdIn2F6.

Cell lengths 6.371, 6.371, 7.734 Å; angles 109.69, 109.69, 63.38 degrees
Atoms (fractional coordinates):
Cs  0.204  0.204  0.119
Cs  0.796  0.796  0.881
Cd  0.000  0.000  0.500
In  0.405  0.405  0.752
In  0.595  0.595  0.248
F  0.198  0.706  0.269
F  0.206  0.206  0.487
F  0.294  0.802  0.731
F  0.706  0.198  0.269
F  0.794  0.794  0.513
F  0.802  0.294  0.731

Computed properties:
The uncorrected energy is -3.911 eV per atom. For the energy relative to the elements, uncorrected, the calculation gives -2.154 eV per atom.

=====

VASP calculation (PBE) on an optimized crystal structure of Cs4KCd3F12.

Cell lengths 8.047, 8.047, 8.047 Å; angles 109.47, 109.47, 109.47 degrees
Atoms (fractional coordinates):
Cs  0.000  0.000  0.500
Cs  0.000  0.500  0.000
Cs  0.500  0.000  0.000
Cs  0.500  0.500  0.500
K  0.000  0.000  0.000
Cd  0.000  0.500  0.500
Cd  0.500  0.000  0.500
Cd  0.500  0.500  0.000
F  0.000  0.272  0.272
F  0.000  0.728  0.728
F  0.250  0.500  0.750
F  0.250  0.750  0.500
F  0.272  0.000  0.272
F  0.272  0.272  0.000
F  0.500  0.250  0.750
F  0.500  0.750  0.250
F  0.728  0.000  0.728
F  0.728  0.728  0.000
F  0.750  0.250  0.500
F  0.750  0.500  0.250

Computed properties:
The uncorrected energy is -3.901 eV per atom. For the energy relative to the elements, uncorrected, the calculation gives -2.415 eV per atom.

=====

VASP calculation (PBE) on an optimized crystal structure of Cs3K2CdF9.

Cell lengths 6.800, 6.800, 8.407 Å; angles 90.00, 90.00, 120.00 degrees
Atoms (fractional coordinates):
Cs  0.000  0.000  0.000
Cs  0.333  0.667  0.698
Cs  0.667  0.333  0.302
K  0.333  0.667  0.192
K  0.667  0.333  0.808
Cd  0.000  0.000  0.500
F  0.000  0.500  0.000
F  0.148  0.297  0.351
F  0.148  0.852  0.351
F  0.297  0.148  0.649
F  0.500  0.000  0.000
F  0.500  0.500  0.000
F  0.703  0.852  0.351
F  0.852  0.148  0.649
F  0.852  0.703  0.649

Computed properties:
The uncorrected energy is -3.783 eV per atom. For the energy relative to the elements, uncorrected, the calculation gives -2.282 eV per atom.

=====

VASP calculation (PBE) on an optimized crystal structure of CsK2CdF5.

Cell lengths 7.487, 7.487, 7.487 Å; angles 145.45, 128.14, 63.82 degrees
Atoms (fractional coordinates):
Cs  0.000  0.000  0.000
K  0.286  0.786  0.500
K  0.714  0.214  0.500
Cd  0.500  0.500  0.000
F  0.134  0.368  0.766
F  0.397  0.632  0.766
F  0.500  0.000  0.500
F  0.603  0.368  0.234
F  0.866  0.632  0.234

Computed properties:
The uncorrected energy is -4.058 eV per atom. For the energy relative to the elements, uncorrected, the calculation gives -2.578 eV per atom.

=====

VASP calculation (PBE) on an optimized crystal structure of CsK2CdF6.

Cell lengths 6.485, 6.976, 11.215 Å; angles 90.00, 124.01, 90.00 degrees
Atoms (fractional coordinates):
Cs  0.000  0.000  0.000
Cs  0.000  0.500  0.500
K  0.217  0.032  0.724
K  0.217  0.468  0.224
K  0.783  0.532  0.776
K  0.783  0.968  0.276
Cd  0.500  0.000  0.500
Cd  0.500  0.500  0.000
F  0.190  0.155  0.478
F  0.190  0.345  0.978
F  0.231  0.737  0.883
F  0.231  0.763  0.383
F  0.425  0.121  0.299
F  0.425  0.379  0.799
F  0.575  0.621  0.201
F  0.575  0.879  0.701
F  0.769  0.237  0.617
F  0.769  0.263  0.117
F  0.810  0.655  0.022
F  0.810  0.845  0.522

Computed properties:
The uncorrected energy is -3.852 eV per atom. For the energy relative to the elements, uncorrected, the calculation gives -2.333 eV per atom.

=====

> Which value of uncorrected energy does entry 6 give?

-3.783 eV per atom